! Fe3OF5 (PBE with a Hubbard U, relaxed); values from VASP
! Final energy   -101.10 eV for the cell shown
! Calculated density   4.16 g/cm3
! Magnetization   1.334 μB/atom
&SYSTEM
  ibrav = 0, nat = 18, ntyp = 3
/
ATOMIC_SPECIES
F 19.00 F.upf
Fe 55.84 Fe.upf
O 16.00 O.upf
CELL_PARAMETERS angstrom
-2.099 -1.444 -5.164
4.294 -2.250 -3.115
-0.971 -7.500 0.001
ATOMIC_POSITIONS crystal
F 0.026 0.638 0.671
Fe 0.995 0.002 0.497
Fe 0.029 0.971 0.001
F 0.983 0.369 0.327
O 0.445 0.439 0.365
Fe 0.346 0.363 0.183
F 0.703 0.273 0.008
Fe 0.655 0.667 0.329
F 0.361 0.993 0.321
O 0.292 0.685 0.006
F 0.631 0.035 0.669
F 0.774 0.776 0.028
F 0.898 0.902 0.289
F 0.572 0.574 0.626
F 0.219 0.219 0.973
Fe 0.652 0.665 0.838
F 0.086 0.090 0.714
Fe 0.332 0.341 0.655